No. 1
Entry from Alexandria: crystalline Pr2GePRh6 at its relaxed geometry (GGA-PBE).

Cell and atoms, written as CIF:
```
data_Pr2GePRh6
_cell_length_a 5.7143
_cell_length_b 8.7127
_cell_length_c 7.5573
_cell_angle_alpha 90.00
_cell_angle_beta 90.00
_cell_angle_gamma 90.00
_space_group_name_H-M_alt 'P 1'
_space_group_IT_number 1
loop_
_space_group_symop_operation_xyz
'x,y,z'
loop_
_atom_site_label
_atom_site_type_symbol
_atom_site_fract_x
_atom_site_fract_y
_atom_site_fract_z
Pr1 Pr 0.2500 0.0241 0.2170
Pr2 Pr 0.2500 0.4759 0.2170
Pr3 Pr 0.7500 0.5241 0.7830
Pr4 Pr 0.7500 0.9759 0.7830
Ge1 Ge 0.2500 0.7500 0.7821
Ge2 Ge 0.7500 0.2500 0.2179
P1 P 0.2500 0.2500 0.7273
P2 P 0.7500 0.7500 0.2727
Rh1 Rh 0.0097 0.7500 0.0514
Rh2 Rh 0.0149 0.7500 0.4945
Rh3 Rh 0.2500 0.9999 0.6146
Rh4 Rh 0.2500 0.5001 0.6146
Rh5 Rh 0.4851 0.7500 0.4945
Rh6 Rh 0.4903 0.7500 0.0514
Rh7 Rh 0.5097 0.2500 0.9486
Rh8 Rh 0.5149 0.2500 0.5055
Rh9 Rh 0.7500 0.0001 0.3854
Rh10 Rh 0.7500 0.4999 0.3854
Rh11 Rh 0.9851 0.2500 0.5055
Rh12 Rh 0.9903 0.2500 0.9486
```

Values from the calculation:
Its space-group type is Pmmn, No. 59. The formation energy from the elements is -633 kJ/mol of formula units.

***

No. 2
Entry from Alexandria: crystalline BaIn5Pd3 at its relaxed geometry (GGA-PBE).

Cell and atoms, written as CIF:
```
data_BaIn5Pd3
_cell_length_a 7.4052
_cell_length_b 7.4052
_cell_length_c 14.2088
_cell_angle_alpha 90.00
_cell_angle_beta 90.00
_cell_angle_gamma 145.21
_space_group_name_H-M_alt 'P 1'
_space_group_IT_number 1
loop_
_space_group_symop_operation_xyz
'x,y,z'
loop_
_atom_site_label
_atom_site_type_symbol
_atom_site_fract_x
_atom_site_fract_y
_atom_site_fract_z
Ba1 Ba 0.1651 0.8349 0.7500
Ba2 Ba 0.8349 0.1651 0.2500
In1 In 0.0000 0.0000 0.0000
In2 In 0.0000 0.0000 0.5000
In3 In 0.2052 0.7948 0.0686
In4 In 0.2052 0.7948 0.4314
In5 In 0.4472 0.5528 0.6506
In6 In 0.4472 0.5528 0.8494
In7 In 0.5528 0.4472 0.1506
In8 In 0.5528 0.4472 0.3494
In9 In 0.7948 0.2052 0.5686
In10 In 0.7948 0.2052 0.9314
Pd1 Pd 0.1292 0.8708 0.2500
Pd2 Pd 0.3921 0.6079 0.0370
Pd3 Pd 0.3921 0.6079 0.4630
Pd4 Pd 0.6079 0.3921 0.5370
Pd5 Pd 0.6079 0.3921 0.9630
Pd6 Pd 0.8708 0.1292 0.7500
```

Values from the calculation:
Its space-group type is Cmcm, No. 63. The formation energy from the elements is -403 kJ/mol of formula units.